Record 1
An optimized crystal structure of La8Ir3I3Cl, computed with PBE.

The space group is R-3m (No. 166, hexagonal axes) and the conventional cell measures 8.6667, 8.6667 and 23.5370 Å, with angles of 90.00, 90.00 and 120.00 degrees. Symmetry generates all atoms from La at (0.0000, 0.0000, 0.2296), La at (0.0280, 0.5140, 0.7664), Ir at (0.0000, 0.5000, 0.5000), I at (0.0000, 0.5000, 0.0000) and Cl at (0.0000, 0.0000, 0.5000).

The total magnetic moment comes out at 0.0 μB per formula unit. The uncorrected formation energy is -1.02 eV/atom.

---

Record 2
An optimized crystal structure of CuSb2Pb2, computed with PBE.

The space group is P4/mbm (No. 127) and the conventional cell measures 7.514, 7.514 and 5.203 Å, with angles of 90.00, 90.00 and 90.00 degrees. Symmetry generates all atoms from Cu at (0.000, 0.000, 0.000), Sb at (0.134, 0.366, 0.500) and Pb at (0.180, 0.680, 0.000).

The total magnetic moment comes out at 0.0 μB per formula unit. The uncorrected formation energy is 0.31 eV/atom. The polymorph energy (0 for the lowest one) is 103.7 kJ/mol of formula units.

---

Record 3
An optimized crystal structure of Cs2KTlGa, computed with PBE.

The space group is P4/mmm (No. 123) and the conventional cell measures 7.472, 7.472 and 5.654 Å, with angles of 90.00, 90.00 and 90.00 degrees. Symmetry generates all atoms from Cs at (0.000, 0.500, 0.000), K at (0.000, 0.000, 0.500), Tl at (0.500, 0.500, 0.500) and Ga at (0.500, 0.500, 0.000).

The total magnetic moment comes out at 0.0 μB per formula unit. The polymorph energy (0 for the lowest one) is 0.0 kJ/mol of formula units. The formation energy is 0.487 eV per formula unit.

---

Record 4
An optimized crystal structure of NaSrCeBiO6, computed with PBE.

The space group is F-43m (No. 216) and the conventional cell measures 8.631, 8.631 and 8.631 Å, with angles of 90.00, 90.00 and 90.00 degrees. Symmetry generates all atoms from Na at (0.000, 0.000, 0.000), Sr at (0.000, 0.000, 0.500), Ce at (0.250, 0.250, 0.750), Bi at (0.250, 0.250, 0.250) and O at (0.005, 0.250, 0.250).

The total magnetic moment comes out at 0.0 μB per formula unit. The uncorrected formation energy is -2.11 eV/atom.

---

Record 5
An optimized crystal structure of Th3Tl2, computed with PBE.

The space group is C2/m (No. 12) and the conventional cell measures 10.810, 4.692 and 7.872 Å, with angles of 90.00, 130.69 and 90.00 degrees. Symmetry generates all atoms from Th at (0.000, 0.000, 0.000), Th at (0.193, 0.000, 0.612) and Tl at (0.086, 0.500, 0.792).

The total magnetic moment comes out at 0.0 μB per formula unit. The polymorph energy (0 for the lowest one) is 7.7 kJ/mol of formula units. The formation energy is -0.171 eV per formula unit.

---

Record 6
An optimized crystal structure of GeIN2, computed with PBE.

The space group is Fm-3m (No. 225) and the conventional cell measures 6.036, 6.036 and 6.036 Å, with angles of 90.00, 90.00 and 90.00 degrees. Symmetry generates all atoms from Ge at (0.000, 0.000, 0.000), I at (0.000, 0.000, 0.500) and N at (0.250, 0.250, 0.250).

The total magnetic moment comes out at 0.0 μB per formula unit. The uncorrected formation energy is 2.06 eV/atom. The polymorph energy (0 for the lowest one) is 481.7 kJ/mol of formula units.

---

Record 7
An optimized crystal structure of Ca2VB10, computed with PBE.

The space group is Pbam (No. 55) and the conventional cell measures 5.750, 11.533 and 4.177 Å, with angles of 90.00, 90.00 and 90.00 degrees. Symmetry generates all atoms from Ca at (0.181, 0.145, 0.000), V at (0.000, 0.500, 0.500), B at (0.048, 0.309, 0.500), B at (0.120, 0.956, 0.500), B at (0.145, 0.802, 0.500) and B at (0.214, 0.382, 0.200).

The total magnetic moment comes out at 1.2 μB per formula unit. The formation energy is -3.308 eV per formula unit.

---

Record 8
An optimized crystal structure of LaHgAsSe2, computed with PBE.

The space group is P4/mmm (No. 123) and the conventional cell measures 5.226, 5.226 and 5.151 Å, with angles of 90.00, 90.00 and 90.00 degrees. Symmetry generates all atoms from La at (0.000, 0.000, 0.000), Hg at (0.500, 0.500, 0.500), As at (0.500, 0.500, 0.000) and Se at (0.000, 0.500, 0.500).

The total magnetic moment comes out at 0.0 μB per formula unit. The uncorrected formation energy is -0.24 eV/atom. The polymorph energy (0 for the lowest one) is 0.0 kJ/mol of formula units.